Material: SrTaIn2
Method: DFT, GGA-PBE
State: relaxed

Properties
As for the space group: No. 216. Its formation enthalpy at 0 K is 0.70 eV/atom. The total magnetization is 2.578 μB per cell. As for the crystal system: cubic. The value obtained for the calculated volume is 105 Å³/cell. The value obtained for the density of states at the Fermi level is 3.46 states/eV/f.u.

Unit cell a=5.287 b=5.287 c=5.287 alpha=60.00 beta=60.00 gamma=60.00
Positions (direct):
1 Sr 0.000 0.000 0.000
2 Ta 0.750 0.750 0.750
3 In 0.250 0.250 0.250
4 In 0.500 0.500 0.500